# PBE-GGA Sc2BeHg, optimized geometry
# Total DFT energy (no corrections) = -3.9895 eV/atom
# Crystal system = cubic
data_Sc2BeHg
_space_group_name_H-M_alt 'P 1'
_space_group_IT_number 1
_cell_length_a 4.733
_cell_length_b 4.733
_cell_length_c 4.733
_cell_angle_alpha 60.00
_cell_angle_beta 60.00
_cell_angle_gamma 60.00
loop_
_space_group_symop_operation_xyz
'x,y,z'
loop_
_atom_site_label
_atom_site_type_symbol
_atom_site_fract_x
_atom_site_fract_y
_atom_site_fract_z
Sc1 Sc 0.000 0.000 0.000
Sc2 Sc 0.250 0.250 0.250
Be1 Be 0.500 0.500 0.500
Hg1 Hg 0.750 0.750 0.750